# 1
Entry from Alexandria: LaErTl after structural relaxation (PBE-GGA).

Geometry as POSCAR:
```
LaErTl
1.0
5.5076 0.0000 0.0000
0.0000 6.5040 0.6980
0.0000 0.1232 6.5402
La Tl Er
2 2 2
Cartesian
0.0000 4.4666 4.8784 La
0.0000 2.1605 2.3597 La
2.7538 5.4151 1.6949 Tl
2.7538 1.2121 5.5432 Tl
2.7538 3.3136 3.6191 Er
0.0000 0.0000 0.0000 Er
```

---

# 2
Entry from Alexandria: Cu2BiAu after structural relaxation (PBE-GGA).

Geometry as POSCAR:
```
Cu2BiAu
1.0
7.3557 0.0000 0.0000
0.0000 7.3557 0.0000
3.6778 3.6778 2.8841
Bi Au Cu
2 2 4
Cartesian
7.3557 3.6778 1.4421 Bi
0.0000 0.0000 0.0000 Bi
3.6778 7.3557 1.4421 Au
3.6778 3.6778 0.0000 Au
5.3801 1.8389 0.7210 Cu
1.9756 5.5168 0.7210 Cu
9.1946 9.0579 2.1631 Cu
5.5168 5.6535 2.1631 Cu
```

---

# 3
Entry from Alexandria: LiCeHg after structural relaxation (PBE-GGA).

Geometry as POSCAR:
```
LiCeHg
1.0
3.4912 0.0000 0.0000
0.0000 3.4912 0.0000
-1.7456 -1.7456 5.8099
Li Hg Ce
1 1 1
Cartesian
0.0000 0.0000 3.6499 Li
1.7456 1.7456 4.9121 Hg
1.7456 1.7456 1.3148 Ce
```

---

What are the energy above the lowest structure with this stoichiometry values for these records? In order: 796; 145; 79 meV per atom.
What are the D(E_F) values for these records? In order: 7.0; 2.3; 6.0 states/eV/cell.
What are the DFT formation energy values for these records? In order: 538; 278; -139 meV/atom.